# 1
## BaHfAuCl2 (PBE)

Data for a relaxed BaHfAuCl2 crystal.

Results
Crystal system: tetragonal

Lattice parameters (Å, degrees): 5.612 5.612 9.373 90.00 90.00 90.00
Space group P4/mmm (No. 123)
Symmetry-distinct sites (fractional):
Ba: 0.000 0.000 0.000 [1 per cell]
Hf: 0.000 0.000 0.500 [1 per cell]
Au: 0.500 0.500 0.500 [1 per cell]
Cl: 0.000 0.500 0.000 [2 per cell]

=====

# 2
## Ba4AuI2Cl (PBE)

Data for a relaxed Ba4AuI2Cl crystal.

Results
Crystal system: monoclinic

Lattice parameters (Å, degrees): 8.347 4.657 9.008 90.00 107.59 90.00
Space group P2/m (No. 10)
Symmetry-distinct sites (fractional):
Ba: 0.225 0.000 0.210 [2 per cell]
Ba: 0.259 0.500 0.782 [2 per cell]
Au: 0.000 0.500 0.000 [1 per cell]
I: 0.000 0.000 0.500 [1 per cell]
I: 0.500 0.500 0.500 [1 per cell]
Cl: 0.500 0.000 0.000 [1 per cell]

=====

Number 1: M_tot 1.3 μB/cell, uncorrected formation energy 0.165 eV per atom, ρ 3.3 g/cm³. Number 2: M_tot 0.0 μB/cell, uncorrected formation energy -1.297 eV per atom, ρ 5.2 g/cm³.